Record 1
VASP calculation (PBE-GGA) on an optimized crystal structure of Li3Ca2Ga.

Cell lengths 10.0321, 5.8440, 6.0298 Å; angles 90.00, 124.62, 90.00 degrees
Closest atoms and distances in Å follow each position.
Space group C2/m (No. 12)
Symmetry-distinct sites (fractional):
Li 0.0000 0.0000 0.0000  4 Li 2.90, 2 Ga 3.01
Li 0.2500 0.2500 0.0000  4 Li 2.90-2.92, 2 Ga 2.99
Ca 0.1269 0.5000 0.3809  3 Ga 3.39-3.42, 9 Li 3.44-3.52, 4 Ca 3.56-3.78
Ga 0.0000 0.0000 0.5000  6 Li 2.99-3.01

energy relative to the elements: -159 meV per atom
magnetization: 0.0 μB/cell



Record 2
VASP calculation (PBE-GGA) on an optimized crystal structure of Li3Ca3Ga8.

Cell lengths 4.3268, 9.7970, 13.2207 Å; angles 90.00, 90.00, 90.00 degrees
Closest atoms and distances in Å follow each position.
Space group Immm (No. 71)
Symmetry-distinct sites (fractional):
Li 0.0000 0.0000 0.0000  4 Ga 2.83, 4 Li 2.95
Li 0.0000 0.2956 0.5000  6 Ga 2.66-2.83, 2 Li 2.95
Ca 0.0000 0.5000 0.0000  12 Ga 3.29-3.31, 4 Li 3.62
Ca 0.0000 0.5000 0.2984  10 Ga 3.11-3.46, 4 Li 3.33-3.43
Ga 0.0000 0.1345 0.3383  4 Ga 2.60-2.78, 1 Li 2.66
Ga 0.0000 0.2209 0.1380  3 Ga 2.60-2.78, 3 Li 2.83

energy relative to the elements: -424 meV per atom
magnetization: 0.0 μB/cell



Record 3
VASP calculation (PBE-GGA) on an optimized crystal structure of Li4CaGa12.

Cell lengths 8.8509, 8.8509, 8.8509 Å; angles 90.00, 90.00, 90.00 degrees
Closest atoms and distances in Å follow each position.
Space group Im-3 (No. 204)
Symmetry-distinct sites (fractional):
Li 0.2500 0.2500 0.2500  6 Ga 2.55
Ca 0.0000 0.0000 0.0000  12 Ga 3.40
Ga 0.0000 0.1511 0.3536  2 Li 2.55, 2 Ga 2.59-2.67

energy relative to the elements: 61 meV per atom
magnetization: 0.0 μB/cell